Entry 1:
This record from the Alexandria database describes an optimized crystal structure of Pm8Si3CI3. The functional is GGA-PBE.

Computed properties:
V: 469 Å³/cell
Density of states at the Fermi level: 10.390 states/eV/f.u.
Space-group type: No. 166
Formation energy without anion corrections: -0.72 eV per atom
Calculated total energy: -5.26 eV/atom

abc: 8.388 8.384 9.090
angles: 117.43 90.01 120.02
Atoms (fractional coordinates):
1 Pm 0.268 0.535 0.303
2 Pm 0.732 0.465 0.697
3 Pm 0.788 0.575 0.316
4 Pm 0.212 0.425 0.684
5 Pm 0.787 0.028 0.316
6 Pm 0.213 0.972 0.684
7 Pm 0.241 0.028 0.316
8 Pm 0.759 0.972 0.684
9 Si 0.500 0.000 0.500
10 Si 0.500 0.500 0.500
11 Si 0.000 0.500 0.500
12 C 0.000 0.000 0.500
13 I 0.000 0.000 0.000
14 I 0.000 0.500 0.000
15 I 0.500 0.500 0.000


Entry 2:
This record from the Alexandria database describes an optimized crystal structure of Ba2DyUN4. The functional is GGA-PBE.

Computed properties:
V: 143 Å³/cell
Density of states at the Fermi level: 2.899 states/eV/f.u.
Space-group type: No. 10
Formation energy without anion corrections: -1.13 eV per atom
Calculated total energy: -7.76 eV/atom

abc: 3.630 6.753 6.120
angles: 72.36 90.00 90.00
Atoms (fractional coordinates):
1 Ba 0.000 0.000 0.000
2 Ba 0.500 0.000 0.500
3 Dy 0.000 0.500 0.500
4 U 0.500 0.500 0.000
5 N 0.000 0.676 0.794
6 N 0.000 0.324 0.206
7 N 0.500 0.675 0.240
8 N 0.500 0.325 0.760


Entry 3:
This record from the Alexandria database describes an optimized crystal structure of K4C2Cl. The functional is GGA-PBE.

Computed properties:
V: 262 Å³/cell
Density of states at the Fermi level: 2.394 states/eV/f.u.
Space-group type: No. 139
Formation energy without anion corrections: 0.85 eV per atom
Calculated total energy: -2.68 eV/atom

abc: 5.771 5.771 8.875
angles: 71.03 71.03 90.00
Atoms (fractional coordinates):
1 K 0.800 0.800 0.401
2 K 0.200 0.200 0.599
3 K 0.000 0.500 0.000
4 K 0.500 0.000 0.000
5 C 0.619 0.619 0.761
6 C 0.381 0.381 0.239
7 Cl 0.000 0.000 0.000


Entry 4:
This record from the Alexandria database describes an optimized crystal structure of K2InAgBr4. The functional is GGA-PBE.

Computed properties:
V: 556 Å³/cell
Density of states at the Fermi level: 0.000 states/eV/f.u.
Space-group type: No. 15
Formation energy without anion corrections: -1.08 eV per atom
Calculated total energy: -2.89 eV/atom

abc: 9.183 9.183 9.164
angles: 119.90 119.90 88.28
Atoms (fractional coordinates):
1 K 0.500 0.000 0.000
2 K 0.500 0.000 0.500
3 K 0.000 0.000 0.500
4 K 0.500 0.500 0.000
5 In 0.000 0.500 0.000
6 In 0.000 0.500 0.500
7 Ag 0.500 0.500 0.500
8 Ag 0.000 0.000 0.000
9 Br 0.216 0.789 0.002
10 Br 0.711 0.284 0.498
11 Br 0.289 0.716 0.502
12 Br 0.784 0.211 0.998
13 Br 0.750 0.751 0.000
14 Br 0.749 0.750 0.500
15 Br 0.251 0.250 0.500
16 Br 0.250 0.249 0.000


Please write out number 3 again, unchanged.
This record from the Alexandria database describes an optimized crystal structure of K4C2Cl. The functional is GGA-PBE.

Computed properties:
V: 262 Å³/cell
Density of states at the Fermi level: 2.394 states/eV/f.u.
Space-group type: No. 139
Formation energy without anion corrections: 0.85 eV per atom
Calculated total energy: -2.68 eV/atom

abc: 5.771 5.771 8.875
angles: 71.03 71.03 90.00
Atoms (fractional coordinates):
1 K 0.800 0.800 0.401
2 K 0.200 0.200 0.599
3 K 0.000 0.500 0.000
4 K 0.500 0.000 0.000
5 C 0.619 0.619 0.761
6 C 0.381 0.381 0.239
7 Cl 0.000 0.000 0.000


- Among the records above, which one has the highest density of states at the Fermi level?
  Pm8Si3CI3


- What is the density of states at the Fermi level in the first record?
  10.390 states/eV/f.u.


What did the third record say?
This record from the Alexandria database describes an optimized crystal structure of K4C2Cl. The functional is GGA-PBE.

Computed properties:
V: 262 Å³/cell
Density of states at the Fermi level: 2.394 states/eV/f.u.
Space-group type: No. 139
Formation energy without anion corrections: 0.85 eV per atom
Calculated total energy: -2.68 eV/atom

abc: 5.771 5.771 8.875
angles: 71.03 71.03 90.00
Atoms (fractional coordinates):
1 K 0.800 0.800 0.401
2 K 0.200 0.200 0.599
3 K 0.000 0.500 0.000
4 K 0.500 0.000 0.000
5 C 0.619 0.619 0.761
6 C 0.381 0.381 0.239
7 Cl 0.000 0.000 0.000